Entry 1:
Pr2YIn2 after structural relaxation. Source: Alexandria via LeMat-Bulk, functional PBE.

Cell and atoms, written as POSCAR:
```
Pr2YIn2
1.0
3.811 0.000 -0.511
0.000 5.443 0.000
-0.006 0.000 14.466
Pr In Y
4 4 2
direct
0.237 0.750 0.473
0.763 0.250 0.527
0.953 0.250 0.907
0.047 0.750 0.093
0.357 0.250 0.714
0.447 0.750 0.894
0.553 0.250 0.106
0.643 0.750 0.286
0.146 0.250 0.294
0.854 0.750 0.706
```

Output
SG ... No. 11
ΔH_f (0 K) ... -185 kJ/mol of formula units
Offset from the most stable computed form ... 10.7 meV/atom

=====

Entry 2:
PrYIn2 after structural relaxation. Source: Alexandria via LeMat-Bulk, functional PBE.

Cell and atoms, written as POSCAR:
```
PrYIn2
1.0
-0.864 2.745 2.453
0.631 -0.498 3.695
8.941 4.509 1.016
Pr In Y
1 2 1
direct
0.000 0.000 0.000
0.247 0.247 0.258
0.753 0.753 0.742
0.500 0.500 0.500
```

Output
SG ... No. 166
ΔH_f (0 K) ... -125 kJ/mol of formula units

=====

Entry 3:
PrYZnIn after structural relaxation. Source: Alexandria via LeMat-Bulk, functional PBE.

Cell and atoms, written as POSCAR:
```
PrYZnIn
1.0
5.319 0.000 0.000
2.660 4.606 0.000
2.660 1.535 4.343
In Pr Y Zn
1 1 1 1
direct
0.500 0.500 0.500
0.750 0.750 0.750
0.250 0.250 0.250
0.000 0.000 0.000
```

Output
SG ... No. 216
ΔH_f (0 K) ... -155 kJ/mol of formula units

=====

Entry 4:
PrY2Zn2In2 after structural relaxation. Source: Alexandria via LeMat-Bulk, functional PBE.

Cell and atoms, written as POSCAR:
```
PrY2Zn2In2
1.0
-0.405 3.194 3.467
0.132 -1.387 4.522
9.198 1.707 2.730
Y In Zn Pr
2 2 2 1
direct
0.871 0.871 0.386
0.129 0.129 0.614
0.259 0.259 0.222
0.741 0.741 0.778
0.403 0.403 0.791
0.597 0.597 0.209
0.000 0.000 0.000
```

Output
SG ... No. 166
ΔH_f (0 K) ... -209 kJ/mol of formula units

=====

Entry 5:
Pr2YZn2In2 after structural relaxation. Source: Alexandria via LeMat-Bulk, functional PBE.

Cell and atoms, written as POSCAR:
```
Pr2YZn2In2
1.0
4.730 0.000 0.000
2.365 4.096 0.000
2.365 1.365 9.495
Y Zn In Pr
1 2 2 2
direct
0.000 0.000 0.000
0.391 0.391 0.826
0.609 0.609 0.174
0.731 0.731 0.806
0.269 0.269 0.194
0.874 0.874 0.379
0.126 0.126 0.621
```

Output
SG ... No. 166
ΔH_f (0 K) ... -207 kJ/mol of formula units

=====

Entry 6:
Pr6Zn2In after structural relaxation. Source: Alexandria via LeMat-Bulk, functional PBE.

Cell and atoms, written as POSCAR:
```
Pr6Zn2In
1.0
-2.889 -5.446 -6.487
-1.600 -3.634 8.020
-4.286 7.851 -0.283
Pr Zn In
12 4 2
direct
0.208 0.757 0.965
0.792 0.757 0.549
0.280 0.965 0.685
0.208 0.243 0.451
0.280 0.595 0.315
0.540 0.728 0.812
0.720 0.405 0.685
0.916 0.728 0.188
0.084 0.272 0.812
0.720 0.035 0.315
0.460 0.272 0.188
0.792 0.243 0.035
0.630 0.000 0.630
0.370 0.000 0.370
0.500 0.621 0.121
0.500 0.379 0.879
0.000 0.500 0.500
0.000 0.000 0.000
```

Output
SG ... No. 71
ΔH_f (0 K) ... -184 kJ/mol of formula units

=====

Entry 7:
Pr4Zn2In after structural relaxation. Source: Alexandria via LeMat-Bulk, functional PBE.

Cell and atoms, written as POSCAR:
```
Pr4Zn2In
1.0
5.241 0.000 0.000
2.621 4.539 0.000
2.621 1.513 9.089
Zn Pr In
2 4 1
direct
0.098 0.098 0.706
0.902 0.902 0.294
0.380 0.380 0.860
0.208 0.208 0.375
0.792 0.792 0.625
0.620 0.620 0.140
0.000 0.000 0.000
```

Output
SG ... No. 166
ΔH_f (0 K) ... -84 kJ/mol of formula units
Offset from the most stable computed form ... 104.9 meV/atom

=====

Entry 8:
PrZnIn2 after structural relaxation. Source: Alexandria via LeMat-Bulk, functional PBE.

Cell and atoms, written as POSCAR:
```
PrZnIn2
1.0
-0.222 -3.237 -3.261
3.353 -0.346 -3.130
3.798 -4.752 1.213
Zn In Pr
1 2 1
direct
0.500 0.500 0.500
0.222 0.222 0.335
0.778 0.778 0.665
0.000 0.000 0.000
```

Output
SG ... No. 166
ΔH_f (0 K) ... -114 kJ/mol of formula units

=====

Entry 9:
Pr5ZnIn4 after structural relaxation. Source: Alexandria via LeMat-Bulk, functional PBE.

Cell and atoms, written as POSCAR:
```
Pr5ZnIn4
1.0
3.760 0.000 0.000
0.000 3.760 0.000
0.000 0.000 20.464
Zn In Pr
1 4 5
direct
0.000 0.000 0.000
0.000 0.000 0.604
0.000 0.000 0.189
0.000 0.000 0.396
0.000 0.000 0.811
0.500 0.500 0.707
0.500 0.500 0.293
0.500 0.500 0.088
0.500 0.500 0.912
0.500 0.500 0.500
```

Output
SG ... No. 123
ΔH_f (0 K) ... -439 kJ/mol of formula units

=====

Entry 10:
Pr7Zn2In2 after structural relaxation. Source: Alexandria via LeMat-Bulk, functional PBE.

Cell and atoms, written as POSCAR:
```
Pr7Zn2In2
1.0
-1.050 -6.909 0.538
7.022 -1.303 -3.034
2.982 2.415 5.866
In Pr Zn
2 7 2
direct
0.825 0.500 0.825
0.175 0.500 0.175
0.000 0.722 0.500
0.000 0.000 0.000
0.500 0.722 0.000
0.500 0.243 0.500
0.000 0.278 0.500
0.500 0.278 0.000
0.500 0.757 0.500
0.715 0.000 0.285
0.285 0.000 0.715
```

Output
SG ... No. 65
ΔH_f (0 K) ... -74 kJ/mol of formula units

=====

Entry 11:
Pr2Zn5In after structural relaxation. Source: Alexandria via LeMat-Bulk, functional PBE.

Cell and atoms, written as POSCAR:
```
Pr2Zn5In
1.0
4.523 0.000 0.000
-2.261 8.341 0.000
0.000 0.000 9.116
Zn In Pr
10 2 4
direct
0.655 0.310 0.015
0.815 0.630 0.392
0.185 0.370 0.608
0.603 0.205 0.750
0.397 0.795 0.250
0.345 0.690 0.515
0.655 0.310 0.485
0.185 0.370 0.892
0.345 0.690 0.985
0.815 0.630 0.108
0.443 0.886 0.750
0.557 0.114 0.250
0.207 0.415 0.250
0.000 0.000 0.000
0.793 0.585 0.750
0.000 0.000 0.500
```

Output
SG ... No. 63
ΔH_f (0 K) ... -275 kJ/mol of formula units
Offset from the most stable computed form ... 0.0 meV/atom

=====

Entry 12:
Pr6Zn3In after structural relaxation. Source: Alexandria via LeMat-Bulk, functional PBE.

Cell and atoms, written as POSCAR:
```
Pr6Zn3In
1.0
-4.093 0.432 -3.232
4.519 -5.533 -6.463
-6.092 -7.318 6.736
In Zn Pr
2 6 12
direct
0.250 0.952 0.598
0.750 0.048 0.402
0.750 0.614 0.210
0.750 0.228 0.025
0.750 0.470 0.623
0.250 0.530 0.377
0.250 0.772 0.975
0.250 0.386 0.790
0.750 0.891 0.120
0.250 0.822 0.301
0.250 0.109 0.880
0.750 0.352 0.316
0.250 0.648 0.684
0.750 0.879 0.842
0.250 0.121 0.158
0.250 0.278 0.510
0.750 0.178 0.699
0.250 0.464 0.091
0.750 0.536 0.909
0.750 0.722 0.490
```

Output
SG ... No. 11
ΔH_f (0 K) ... -234 kJ/mol of formula units

=====

Entry 13:
Pr2Zn5In after structural relaxation. Source: Alexandria via LeMat-Bulk, functional PBE.

Cell and atoms, written as POSCAR:
```
Pr2Zn5In
1.0
-3.763 -3.631 3.268
4.937 -2.858 -2.342
2.821 4.395 3.279
Zn Pr In
5 2 1
direct
0.598 0.317 0.317
0.000 0.317 0.719
0.402 0.719 0.719
0.000 0.719 0.317
0.000 0.247 0.247
0.500 0.768 0.268
0.500 0.268 0.768
0.000 0.866 0.866
```

Output
SG ... No. 107
ΔH_f (0 K) ... -181 kJ/mol of formula units
Offset from the most stable computed form ... 121.5 meV/atom

=====

Entry 14:
PrZn4In after structural relaxation. Source: Alexandria via LeMat-Bulk, functional PBE.

Cell and atoms, written as POSCAR:
```
PrZn4In
1.0
5.550 0.000 0.000
2.775 4.807 0.000
2.775 1.602 4.532
Zn In Pr
4 1 1
direct
0.625 0.625 0.126
0.625 0.625 0.625
0.625 0.126 0.625
0.126 0.625 0.625
0.000 0.000 0.000
0.250 0.250 0.250
```

Output
SG ... No. 216
ΔH_f (0 K) ... -85 kJ/mol of formula units

=====

Entry 15:
Pr11Zn4In9 after structural relaxation. Source: Alexandria via LeMat-Bulk, functional PBE.

Cell and atoms, written as POSCAR:
```
Pr11Zn4In9
1.0
-0.697 2.108 3.178
-10.941 -7.710 2.714
11.412 -4.854 5.722
In Pr Zn
9 11 4
direct
0.500 0.073 0.217
0.500 0.500 0.500
0.500 0.783 0.927
0.500 0.368 0.840
0.500 0.160 0.632
0.500 0.217 0.073
0.500 0.927 0.783
0.500 0.632 0.160
0.500 0.840 0.368
0.000 0.588 0.936
0.000 0.064 0.412
0.000 0.300 0.300
0.000 0.368 0.632
0.000 0.936 0.588
0.000 0.162 0.838
0.000 0.838 0.162
0.000 0.000 0.000
0.000 0.412 0.064
0.000 0.700 0.700
0.000 0.632 0.368
0.500 0.450 0.250
0.500 0.250 0.450
0.500 0.550 0.750
0.500 0.750 0.550
```

Output
SG ... No. 65
ΔH_f (0 K) ... -1009 kJ/mol of formula units

=====

Entry 16:
Pr4ZnIn2 after structural relaxation. Source: Alexandria via LeMat-Bulk, functional PBE.

Cell and atoms, written as POSCAR:
```
Pr4ZnIn2
1.0
5.163 0.000 1.613
2.330 4.608 1.613
-0.065 -0.040 9.279
Pr Zn In
4 1 2
direct
0.874 0.874 0.377
0.126 0.126 0.623
0.623 0.623 0.130
0.377 0.377 0.870
0.000 0.000 0.000
0.749 0.749 0.754
0.251 0.251 0.246
```

Output
SG ... No. 166
ΔH_f (0 K) ... -191 kJ/mol of formula units

=====

Entry 17:
Pr12Zn2In5 after structural relaxation. Source: Alexandria via LeMat-Bulk, functional PBE.

Cell and atoms, written as POSCAR:
```
Pr12Zn2In5
1.0
7.321 0.000 0.000
-3.660 8.748 1.799
0.000 -0.949 9.273
Pr In Zn
12 5 2
direct
0.498 0.995 0.305
0.088 0.679 0.942
0.033 0.066 0.818
0.908 0.307 0.487
0.600 0.693 0.513
0.502 0.005 0.695
0.912 0.321 0.058
0.967 0.934 0.182
0.409 0.321 0.058
0.591 0.679 0.942
0.400 0.307 0.487
0.092 0.693 0.513
0.000 0.000 0.500
0.775 0.549 0.247
0.707 0.413 0.755
0.293 0.587 0.245
0.225 0.451 0.753
0.665 0.000 0.000
0.335 0.000 0.000
```

Output
SG ... No. 12
ΔH_f (0 K) ... -387 kJ/mol of formula units

=====

Entry 18:
Pr6ZnIn after structural relaxation. Source: Alexandria via LeMat-Bulk, functional PBE.

Cell and atoms, written as POSCAR:
```
Pr6ZnIn
1.0
9.289 0.003 0.114
4.627 7.294 -0.222
4.586 2.308 3.707
Pr In Zn
6 1 1
direct
0.437 0.757 0.837
0.035 0.437 0.771
0.563 0.243 0.163
0.965 0.563 0.229
0.243 0.037 0.281
0.757 0.963 0.719
0.500 0.500 0.500
0.000 0.000 0.000
```

Output
SG ... No. 2
ΔH_f (0 K) ... -95 kJ/mol of formula units

=====

Entry 19:
Pr3Zn8In3 after structural relaxation. Source: Alexandria via LeMat-Bulk, functional PBE.

Cell and atoms, written as POSCAR:
```
Pr3Zn8In3
1.0
-1.548 -0.224 -4.199
-4.961 -7.065 -0.185
-8.338 2.171 0.568
Pr Zn In
3 8 3
direct
0.196 0.804 0.804
0.804 0.196 0.196
0.500 0.500 0.500
0.834 0.793 0.539
0.166 0.461 0.207
0.654 0.610 0.082
0.346 0.390 0.918
0.834 0.539 0.793
0.166 0.207 0.461
0.346 0.918 0.390
0.654 0.082 0.610
0.500 0.000 0.000
0.000 0.779 0.221
0.000 0.221 0.779
```

Output
SG ... No. 71
ΔH_f (0 K) ... -470 kJ/mol of formula units

=====

Entry 20:
Pr4Zn2In after structural relaxation. Source: Alexandria via LeMat-Bulk, functional PBE.

Cell and atoms, written as POSCAR:
```
Pr4Zn2In
1.0
5.034 0.000 1.573
2.271 4.492 1.573
-0.039 -0.024 8.967
In Pr Zn
1 4 2
direct
0.000 0.000 0.000
0.615 0.615 0.155
0.385 0.385 0.845
0.868 0.868 0.397
0.132 0.132 0.603
0.744 0.744 0.768
0.256 0.256 0.232
```

Output
SG ... No. 166
ΔH_f (0 K) ... -155 kJ/mol of formula units
Offset from the most stable computed form ... 0.0 meV/atom

=====

Entry 21:
Pr3Zn2In2 after structural relaxation. Source: Alexandria via LeMat-Bulk, functional PBE.

Cell and atoms, written as POSCAR:
```
Pr3Zn2In2
1.0
4.507 0.000 0.598
0.000 3.716 0.000
0.814 0.000 11.147
Pr Zn In
3 2 2
direct
0.000 0.000 0.000
0.164 0.000 0.673
0.836 0.000 0.327
0.281 0.500 0.438
0.719 0.500 0.562
0.582 0.500 0.837
0.418 0.500 0.163
```

Output
SG ... No. 65
ΔH_f (0 K) ... -283 kJ/mol of formula units

=====

Entry 22:
Pr8Zn2In after structural relaxation. Source: Alexandria via LeMat-Bulk, functional PBE.

Cell and atoms, written as POSCAR:
```
Pr8Zn2In
1.0
5.114 0.000 0.000
0.000 8.139 -0.068
-2.557 -3.582 8.220
Pr Zn In
8 2 1
direct
0.180 0.274 0.360
0.594 0.465 0.189
0.041 0.756 0.082
0.679 0.965 0.357
0.406 0.535 0.811
0.321 0.035 0.643
0.959 0.244 0.918
0.820 0.726 0.640
0.808 0.339 0.615
0.192 0.661 0.385
0.500 0.000 0.000
```

Output
SG ... No. 12
ΔH_f (0 K) ... -180 kJ/mol of formula units